8
Lattice="-6.3847 -0.9718 2.0885 4.0689 -5.2260 1.4843 3.0092 5.2294 3.1094" Properties=species:S:1:pos:R:3 comment="SiTe2Br, relaxed, DFT PBEsol" n_ef_per_ev_cell=8.51 e_above_lowest_polymorph_ev_per_fu=0.00 spacegroup="No. 122" pbc="T T T"
Si 3.5390 0.0017 2.2968
Si 0.0818 2.1296 3.7474
Te 4.4729 -2.3394 2.7972
Te -2.0099 1.3719 5.0334
Te 1.3796 -0.0874 3.6868
Te -2.4557 -0.8819 1.8470
Br 0.0000 0.0000 0.0000
Br 0.6117 -3.0980 2.9348